Density functional theory data (PBE-GGA) for a relaxed structure of Li5Y2Sn4.

POSCAR file:
```
Li5Y2Sn4
1.0
-2.486 -2.134 4.923
0.209 -5.929 1.087
5.976 -0.064 6.543
Li Y Sn
5 2 4
Cartesian
-1.243 -1.067 2.461
0.105 -2.965 0.543
-1.139 -4.032 3.005
2.471 -3.530 5.046
1.228 -4.597 7.507
0.119 -1.772 6.395
3.371 -0.426 5.070
3.163 -2.789 7.493
0.536 -5.339 5.060
1.152 -2.174 3.191
2.547 -5.954 9.361
```

## Properties
The calculation puts the formation energy from the elements at -0.339 eV/atom. As for the space-group type: Fmmm. The value obtained for the volume is 23.61 A^3/atom.